A plane-wave DFT calculation with PBE was carried out for crystalline AcSm6Te8 at its relaxed geometry.

a = 8.897 Å, b = 8.897 Å, c = 8.897 Å
α = 60.00°, β = 60.00°, γ = 60.00°
Sites, in units of the cell vectors:
Ac (0.000, 0.000, 0.000)
Sm (0.000, 0.000, 0.500)
Sm (0.000, 0.500, 0.000)
Sm (0.000, 0.500, 0.500)
Sm (0.500, 0.000, 0.000)
Sm (0.500, 0.000, 0.500)
Sm (0.500, 0.500, 0.000)
Te (0.250, 0.250, 0.250)
Te (0.265, 0.265, 0.735)
Te (0.265, 0.735, 0.265)
Te (0.265, 0.735, 0.735)
Te (0.735, 0.265, 0.265)
Te (0.735, 0.265, 0.735)
Te (0.735, 0.735, 0.265)
Te (0.750, 0.750, 0.750)

Output
Space-group type: No. 225
VASP energy in eV per atom: -5.27
Theoretical density in g cm⁻³: 7.17


A plane-wave DFT calculation with PBE was carried out for crystalline NbAgS2 at its relaxed geometry.

a = 8.282 Å, b = 8.282 Å, c = 8.282 Å
α = 23.23°, β = 23.23°, γ = 23.23°
Sites, in units of the cell vectors:
Nb (0.000, 0.000, 0.000)
Ag (0.500, 0.500, 0.500)
S (0.399, 0.399, 0.399)
S (0.601, 0.601, 0.601)

Output
Space-group type: No. 166
VASP energy in eV per atom: -5.98
Theoretical density in g cm⁻³: 5.67